ZnPd2Br after structural relaxation. Source: Alexandria, functional GGA-PBEsol.

Unit cell a=4.4756 b=4.4756 c=4.4756 alpha=60.00 beta=60.00 gamma=60.00
With the nearest neighbours (Å) after each atom.
Sites, in units of the cell vectors:
Zn: 0.0000 0.0000 0.0000  8 Pd 2.74
Br: 0.5000 0.5000 0.5000  8 Pd 2.74
Pd: 0.2500 0.2500 0.2500  4 Zn 2.74, 4 Br 2.74
Pd: 0.7500 0.7500 0.7500  4 Br 2.74, 4 Zn 2.74

Output
Fermi-level density of states, states/eV/cell: 2.632
Energy relative to the elements, uncorrected, eV/atom: 0.0331
E_tot, eV per atom: -3.81



RbSrMn2 after structural relaxation. Source: Alexandria, functional GGA-PBEsol.

Unit cell a=5.6259 b=5.6259 c=5.6259 alpha=60.00 beta=60.00 gamma=60.00
With the nearest neighbours (Å) after each atom.
Sites, in units of the cell vectors:
Sr: 0.5000 0.5000 0.5000  8 Mn 3.45
Mn: 0.2500 0.2500 0.2500  4 Rb 3.45, 4 Sr 3.45
Mn: 0.7500 0.7500 0.7500  4 Rb 3.45, 4 Sr 3.45
Rb: 0.0000 0.0000 0.0000  8 Mn 3.45

Output
Fermi-level density of states, states/eV/cell: 5.462
Formation energy, eV per atom: 1.236
E_tot, eV per atom: -4.36



CaV2O4 after structural relaxation. Source: Alexandria, functional GGA-PBEsol.

Unit cell a=4.8754 b=5.5971 c=11.3202 alpha=90.00 beta=90.00 gamma=89.82
With the nearest neighbours (Å) after each atom.
Sites, in units of the cell vectors:
Ca: 0.8458 0.2508 0.7494  6 O 2.22-2.35
Ca: 0.1542 0.7491 0.2495  6 O 2.22-2.35
Ca: 0.5450 0.2523 0.2533  6 O 2.23-2.44
Ca: 0.4551 0.7476 0.7533  6 O 2.23-2.44
O: 0.8097 0.7538 0.3776  3 V 1.91-1.99
O: 0.8636 0.7481 0.0921  3 V 1.89-2.07
O: 0.1365 0.2520 0.5921  3 V 1.89-2.07
O: 0.1903 0.2463 0.8775  3 V 1.91-1.99
O: 0.1628 0.7522 0.5931  3 V 1.92-2.10
O: 0.1853 0.7472 0.9127  3 V 1.96-1.99
O: 0.8146 0.2529 0.4127  3 V 1.96-1.99
O: 0.8373 0.2479 0.0931  3 V 1.92-2.10
O: 0.6488 0.5050 0.6090  3 V 1.98-2.05
O: 0.6834 0.9991 0.8985  3 V 1.99-2.08
O: 0.3166 0.0009 0.3984  3 V 1.99-2.08
O: 0.3512 0.4949 0.1090  3 V 1.98-2.05
O: 0.3191 0.5004 0.4015  3 V 2.03-2.06
O: 0.3486 0.0059 0.1132  3 V 1.98-2.02
O: 0.6515 0.9941 0.6132  3 V 1.98-2.02
O: 0.6808 0.4996 0.9015  3 V 2.03-2.07
V: 0.5289 0.7555 0.4948  6 O 1.91-2.10
V: 0.5280 0.7572 0.0089  6 O 1.89-2.05
V: 0.4720 0.2426 0.5089  6 O 1.89-2.05
V: 0.4711 0.2446 0.9949  6 O 1.91-2.10
V: 0.9611 0.5296 0.4979  6 O 1.92-2.07
V: 0.0407 0.0242 0.9980  6 O 1.92-2.08
V: 0.9593 0.9759 0.4980  6 O 1.92-2.08
V: 0.0390 0.4705 0.9979  6 O 1.92-2.07

Output
Fermi-level density of states, states/eV/cell: 10.163
Energy relative to the elements, uncorrected, eV/atom: -2.5946
E_tot, eV per atom: -8.65



AgRh2Br after structural relaxation. Source: Alexandria, functional GGA-PBEsol.

Unit cell a=2.8743 b=4.5753 c=4.8526 alpha=90.00 beta=90.00 gamma=90.00
With the nearest neighbours (Å) after each atom.
Sites, in units of the cell vectors:
Rh: 0.0000 0.0000 0.0000  4 Ag 2.70, 6 Rh 2.82-2.87
Rh: 0.5000 0.0000 0.5000  4 Br 2.70, 6 Rh 2.82-2.87
Br: 0.0000 0.5000 0.5000  4 Rh 2.70, 4 Ag 2.82, 2 Br 2.87
Ag: 0.5000 0.5000 0.0000  4 Rh 2.70, 4 Br 2.82, 2 Ag 2.87

Output
Fermi-level density of states, states/eV/cell: 5.452
Energy relative to the elements, uncorrected, eV/atom: 0.6381
E_tot, eV per atom: -4.73



CoPb2W after structural relaxation. Source: Alexandria, functional GGA-PBEsol.

Unit cell a=3.1473 b=5.3200 c=5.3972 alpha=119.53 beta=106.95 gamma=90.00
With the nearest neighbours (Å) after each atom.
Sites, in units of the cell vectors:
Co: 0.0000 0.5000 0.0000  4 Pb 2.54
Pb: 0.7249 0.7249 0.4499  2 Co 2.54
Pb: 0.2751 0.2751 0.5501  2 Co 2.54
W: 0.5000 0.0000 0.0000  4 Pb 2.90, 4 Co 3.09, 2 W 3.15

Output
Fermi-level density of states, states/eV/cell: 4.168
Formation energy, eV per atom: 1.033
E_tot, eV per atom: -6.35



AlAg3 after structural relaxation. Source: Alexandria, functional GGA-PBEsol.

Unit cell a=6.8751 b=6.8751 c=6.8751 alpha=90.23 beta=90.23 gamma=90.23
With the nearest neighbours (Å) after each atom.
Sites, in units of the cell vectors:
Al: 0.6908 0.6908 0.6908  6 Ag 2.56-2.74
Al: 0.3179 0.8022 0.1937  5 Ag 2.55-2.75, 1 Al 2.68
Al: 0.8022 0.1937 0.3179  5 Ag 2.55-2.75, 1 Al 2.68
Al: 0.1937 0.3179 0.8022  5 Ag 2.55-2.75, 1 Al 2.68
Al: 0.0585 0.0585 0.0585  3 Al 2.68, 9 Ag 2.73-2.89
Ag: 0.1999 0.1275 0.4490  4 Al 2.75-2.96, 8 Ag 2.84-2.93
Ag: 0.1275 0.4490 0.1999  4 Al 2.75-2.96, 8 Ag 2.84-2.93
Ag: 0.4490 0.1999 0.1275  4 Al 2.75-2.96, 8 Ag 2.84-2.93
Ag: 0.8013 0.3605 0.9600  4 Al 2.72-3.03, 8 Ag 2.84-2.92
Ag: 0.8830 0.0407 0.7012  4 Al 2.73-2.94, 8 Ag 2.85-2.96
Ag: 0.5455 0.2978 0.6296  3 Al 2.70-2.91, 9 Ag 2.81-2.96
Ag: 0.2978 0.6296 0.5455  3 Al 2.70-2.91, 9 Ag 2.81-2.96
Ag: 0.3605 0.9600 0.8013  4 Al 2.72-3.03, 8 Ag 2.84-2.92
Ag: 0.0407 0.7012 0.8830  4 Al 2.73-2.94, 8 Ag 2.85-2.96
Ag: 0.7012 0.8830 0.0407  4 Al 2.73-2.94, 8 Ag 2.85-2.96
Ag: 0.6296 0.5455 0.2978  3 Al 2.70-2.91, 9 Ag 2.81-2.96
Ag: 0.9600 0.8013 0.3605  4 Al 2.72-3.03, 8 Ag 2.84-2.92
Ag: 0.9353 0.4404 0.5652  3 Al 2.55-2.56, 2 Ag 2.81-2.84
Ag: 0.4404 0.5652 0.9353  3 Al 2.55-2.56, 2 Ag 2.81-2.84
Ag: 0.5652 0.9353 0.4404  3 Al 2.55-2.56, 2 Ag 2.81-2.84

Output
Fermi-level density of states, states/eV/cell: 2.967
Formation energy, eV per atom: -0.104
E_tot, eV per atom: -3.61



RbNa2Au after structural relaxation. Source: Alexandria, functional GGA-PBEsol.

Unit cell a=4.8770 b=4.8770 c=11.8839 alpha=101.84 beta=101.84 gamma=90.00
With the nearest neighbours (Å) after each atom.
Sites, in units of the cell vectors:
Na: 0.3202 0.8750 0.2500  2 Na 3.09, 2 Au 3.24, 2 Rb 3.43
Na: 0.9298 0.3750 0.2500  2 Na 3.09, 2 Au 3.24, 2 Rb 3.43
Na: 0.1250 0.0702 0.7500  2 Na 3.09, 2 Au 3.24, 2 Rb 3.43
Na: 0.6250 0.6798 0.7500  2 Na 3.09, 2 Au 3.24, 2 Rb 3.43
Au: 0.2500 0.7500 0.5000  4 Na 3.24, 4 Rb 3.45
Au: 0.0000 0.0000 0.0000  4 Na 3.24, 4 Rb 3.45
Rb: 0.7500 0.2500 0.5000  4 Na 3.43, 4 Au 3.45
Rb: 0.5000 0.5000 0.0000  4 Na 3.43, 4 Au 3.45

Output
Fermi-level density of states, states/eV/cell: 2.811
Formation energy, eV per atom: 0.035
E_tot, eV per atom: -1.90



Mg3FeO4 after structural relaxation. Source: Alexandria, functional GGA-PBEsol.

Unit cell a=2.9698 b=2.9698 c=9.9911 alpha=89.99 beta=98.55 gamma=120.00
With the nearest neighbours (Å) after each atom.
Sites, in units of the cell vectors:
Mg: 0.5000 0.5000 0.0000  6 O 2.10
Mg: 0.0012 0.7508 0.7520  6 O 2.08-2.11
Mg: 0.9988 0.2492 0.2480  6 O 2.08-2.11
Fe: 0.5000 0.0000 0.5000  6 O 2.15
O: 0.7456 0.6227 0.3683  3 Mg 2.08, 3 Fe 2.15
O: 0.2544 0.3773 0.6317  3 Mg 2.08, 3 Fe 2.15
O: 0.2493 0.8746 0.1239  6 Mg 2.10-2.11
O: 0.7507 0.1254 0.8761  6 Mg 2.10-2.11

Output
Fermi-level density of states, states/eV/cell: 1.734
Energy relative to the elements, uncorrected, eV/atom: -2.2643
E_tot, eV per atom: -6.65